No. 1
First-principles (GGA-PBEsol) data for a relaxed structure of Be4CuAu, as listed in Alexandria.

Cell and atoms, written as POSCAR:
```
Be4CuAu
1.0
0.0000 3.0726 3.0726
3.0726 0.0000 3.0726
3.0726 3.0726 0.0000
Be Cu Au
4 1 1
Direct
0.1254 0.1254 0.1254 Be
0.1254 0.1254 0.6239 Be
0.1254 0.6239 0.1254 Be
0.6239 0.1254 0.1254 Be
0.5000 0.5000 0.5000 Cu
0.7500 0.7500 0.7500 Au
```

## Properties
crystal system	cubic
calculated formation energy	-0.20	eV per atom

No. 2
First-principles (GGA-PBEsol) data for a relaxed structure of Cu2AgSbC, as listed in Alexandria.

Cell and atoms, written as POSCAR:
```
Cu2AgSbC
1.0
4.6117 0.0000 0.0000
0.0000 4.6117 0.0000
0.0000 0.0000 5.0252
Cu Ag Sb C
2 1 1 1
Direct
0.0000 0.5000 0.0000 Cu
0.5000 0.0000 0.0000 Cu
0.0000 0.0000 0.0000 Ag
0.0000 0.0000 0.5000 Sb
0.5000 0.5000 0.5000 C
```

## Properties
crystal system	tetragonal

No. 3
First-principles (GGA-PBEsol) data for a relaxed structure of YSc2Au, as listed in Alexandria.

Cell and atoms, written as POSCAR:
```
YSc2Au
1.0
3.5072 0.0000 0.0000
0.0000 3.5072 0.0000
0.0000 0.0000 7.3982
Y Sc Au
1 2 1
Direct
0.0000 0.0000 0.0000 Y
0.0000 0.0000 0.4444 Sc
0.5000 0.5000 0.7026 Sc
0.5000 0.5000 0.2454 Au
```

## Properties
crystal system	tetragonal
calculated formation energy	-0.37	eV per atom

No. 4
First-principles (GGA-PBEsol) data for a relaxed structure of MgH2SeO5, as listed in Alexandria.

Cell and atoms, written as POSCAR:
```
MgH2SeO5
1.0
3.4321 -4.1098 0.0000
3.4321 4.1098 0.0000
-3.4146 0.0000 6.8343
Mg H Se O
2 4 2 10
Direct
0.0000 0.5000 0.0000 Mg
0.5000 0.0000 0.5000 Mg
0.0356 0.1380 0.7040 H
0.1380 0.0356 0.2040 H
0.8620 0.9644 0.7960 H
0.9644 0.8620 0.2960 H
0.4181 0.5819 0.7500 Se
0.5819 0.4181 0.2500 Se
0.1245 0.8755 0.2500 O
0.2418 0.3128 0.1543 O
0.2944 0.6835 0.9236 O
0.3128 0.2418 0.6543 O
0.3165 0.7056 0.5764 O
0.6835 0.2944 0.4236 O
0.6872 0.7582 0.3457 O
0.7056 0.3165 0.0764 O
0.7582 0.6872 0.8457 O
0.8755 0.1245 0.7500 O
```

## Properties
crystal system	monoclinic

No. 5
First-principles (GGA-PBEsol) data for a relaxed structure of Ca2MnOs, as listed in Alexandria.

Cell and atoms, written as POSCAR:
```
Ca2MnOs
1.0
6.7664 0.0000 0.0000
0.0000 6.7664 0.0000
0.0000 0.0000 6.7664
Ca Mn Os
8 4 4
Direct
0.0000 0.0000 0.0000 Ca
0.0000 0.5000 0.5000 Ca
0.2500 0.2500 0.2500 Ca
0.2500 0.7500 0.7500 Ca
0.5000 0.0000 0.5000 Ca
0.5000 0.5000 0.0000 Ca
0.7500 0.2500 0.7500 Ca
0.7500 0.7500 0.2500 Ca
0.0000 0.0000 0.5000 Mn
0.0000 0.5000 0.0000 Mn
0.5000 0.0000 0.0000 Mn
0.5000 0.5000 0.5000 Mn
0.2500 0.2500 0.7500 Os
0.2500 0.7500 0.2500 Os
0.7500 0.2500 0.2500 Os
0.7500 0.7500 0.7500 Os
```

## Properties
crystal system	cubic
calculated formation energy	0.65	eV per atom

No. 6
First-principles (GGA-PBEsol) data for a relaxed structure of MgGeOF2, as listed in Alexandria.

Cell and atoms, written as POSCAR:
```
MgGeOF2
1.0
4.2546 0.0000 0.0000
0.0000 4.2546 0.0000
0.0000 0.0000 3.8949
Mg Ge O F
1 1 1 2
Direct
0.0000 0.0000 0.0000 Mg
0.5000 0.5000 0.5000 Ge
0.5000 0.5000 0.0000 O
0.0000 0.5000 0.5000 F
0.5000 0.0000 0.5000 F
```

## Properties
crystal system	tetragonal

No. 7
First-principles (GGA-PBEsol) data for a relaxed structure of CaYSe, as listed in Alexandria.

Cell and atoms, written as POSCAR:
```
CaYSe
1.0
7.1026 0.0000 0.0000
0.0000 7.1026 0.0000
0.0000 0.0000 7.1026
Ca Y Se
4 4 4
Direct
0.0000 0.0000 0.0000 Ca
0.0000 0.5000 0.5000 Ca
0.5000 0.0000 0.5000 Ca
0.5000 0.5000 0.0000 Ca
0.2500 0.2500 0.7500 Y
0.2500 0.7500 0.2500 Y
0.7500 0.2500 0.2500 Y
0.7500 0.7500 0.7500 Y
0.0000 0.0000 0.5000 Se
0.0000 0.5000 0.0000 Se
0.5000 0.0000 0.0000 Se
0.5000 0.5000 0.5000 Se
```

## Properties
crystal system	cubic

No. 8
First-principles (GGA-PBEsol) data for a relaxed structure of KRh2W, as listed in Alexandria.

Cell and atoms, written as POSCAR:
```
KRh2W
1.0
9.3908 0.0000 0.0000
0.0000 2.7511 0.0000
-0.8793 0.0000 6.2408
K Rh W
2 4 2
Direct
0.0000 0.0000 0.0000 K
0.5000 0.5000 0.0000 K
0.0167 0.5000 0.4842 Rh
0.2284 0.0000 0.7127 Rh
0.5167 0.0000 0.4842 Rh
0.7284 0.5000 0.7127 Rh
0.2866 0.5000 0.4074 W
0.7866 0.0000 0.4074 W
```

## Properties
crystal system	monoclinic
calculated formation energy	0.73	eV per atom

Magnetic moment list, top to bottom, in μB per formula unit: 0.0, 1.0, 0.4, 0.0, 4.6, 0.0, 0.6, 0.0
VASP energy list, top to bottom, in eV for the cell shown: -25.47, -15.44, -25.44, -100.82, -94.65, -23.22, -51.27, -56.58